1.
# ZnSi2Sb, optimized geometry, DFT PBE
# ΔE to the lowest computed polymorph ... 0.1068 eV per atom
# Raw formation energy ... 0.363 eV/atom
# Total DFT energy (no corrections) ... -14.8 eV for the cell shown
data_ZnSi2Sb
_symmetry_space_group_name_H-M 'P 4/m m m'
_symmetry_Int_Tables_number 123
_symmetry_space_group_name_Hall '-P 4 2'
_cell_length_a 3.789
_cell_length_b 3.789
_cell_length_c 5.475
_cell_angle_alpha 90.00
_cell_angle_beta 90.00
_cell_angle_gamma 90.00
loop_
_atom_site_label
_atom_site_fract_x
_atom_site_fract_y
_atom_site_fract_z
Zn1 0.000 0.000 0.000
Si1 0.000 0.000 0.500
Si2 0.500 0.500 0.500
Sb1 0.500 0.500 0.000


2.
# ZnSi2Sb, optimized geometry, DFT PBE
# ΔE to the lowest computed polymorph ... 0.0781 eV per atom
# Raw formation energy ... 0.334 eV/atom
# Total DFT energy (no corrections) ... -14.9 eV for the cell shown
data_ZnSi2Sb
_symmetry_space_group_name_H-M 'P 1 m 1'
_symmetry_Int_Tables_number 6
_symmetry_space_group_name_Hall 'P -2y'
_cell_length_a 3.114
_cell_length_b 3.394
_cell_length_c 7.349
_cell_angle_alpha 90.00
_cell_angle_beta 90.10
_cell_angle_gamma 90.00
loop_
_atom_site_label
_atom_site_fract_x
_atom_site_fract_y
_atom_site_fract_z
Zn1 0.000 0.000 0.000
Si1 0.492 0.500 0.218
Si2 0.992 0.000 0.364
Sb1 0.985 0.500 0.686


3.
# Zn2SiSb, optimized geometry, DFT PBE
# ΔE to the lowest computed polymorph ... 0.0555 eV per atom
# Raw formation energy ... 0.229 eV/atom
# Total DFT energy (no corrections) ... -44.7 eV for the cell shown
data_Zn2SiSb
_symmetry_space_group_name_H-M 'I -4 2 d'
_symmetry_Int_Tables_number 122
_symmetry_space_group_name_Hall 'I -4 2bw'
_cell_length_a 4.798
_cell_length_b 4.798
_cell_length_c 15.265
_cell_angle_alpha 90.00
_cell_angle_beta 90.00
_cell_angle_gamma 90.00
loop_
_atom_site_label
_atom_site_fract_x
_atom_site_fract_y
_atom_site_fract_z
Zn1 0.185 0.250 0.125
Si1 0.000 0.000 0.000
Sb1 0.000 0.000 0.500


4.
# ZnSi2Sb, optimized geometry, DFT PBE
# ΔE to the lowest computed polymorph ... 0.2299 eV per atom
# Raw formation energy ... 0.486 eV/atom
# Total DFT energy (no corrections) ... -14.3 eV for the cell shown
data_ZnSi2Sb
_symmetry_space_group_name_H-M 'P 4/m m m'
_symmetry_Int_Tables_number 123
_symmetry_space_group_name_Hall '-P 4 2'
_cell_length_a 3.843
_cell_length_b 3.843
_cell_length_c 5.183
_cell_angle_alpha 90.00
_cell_angle_beta 90.00
_cell_angle_gamma 90.00
loop_
_atom_site_label
_atom_site_fract_x
_atom_site_fract_y
_atom_site_fract_z
Zn1 0.000 0.000 0.000
Si1 0.000 0.500 0.500
Sb1 0.500 0.500 0.000


5.
# Zn3SiSb, optimized geometry, DFT PBE
# ΔE to the lowest computed polymorph ... 0.0000 eV per atom
# Raw formation energy ... 0.421 eV/atom
# Total DFT energy (no corrections) ... -11.3 eV for the cell shown
data_Zn3SiSb
_symmetry_space_group_name_H-M 'P m -3 m'
_symmetry_Int_Tables_number 221
_symmetry_space_group_name_Hall '-P 4 2 3'
_cell_length_a 4.771
_cell_length_b 4.771
_cell_length_c 4.771
_cell_angle_alpha 90.00
_cell_angle_beta 90.00
_cell_angle_gamma 90.00
loop_
_atom_site_label
_atom_site_fract_x
_atom_site_fract_y
_atom_site_fract_z
Zn1 0.000 0.000 0.500
Si1 0.000 0.000 0.000
Sb1 0.500 0.500 0.500


6.
# ZnSi2Sb, optimized geometry, DFT PBE
# ΔE to the lowest computed polymorph ... 0.2442 eV per atom
# Raw formation energy ... 0.500 eV/atom
# Total DFT energy (no corrections) ... -28.5 eV for the cell shown
data_ZnSi2Sb
_symmetry_space_group_name_H-M 'C m m m'
_symmetry_Int_Tables_number 65
_symmetry_space_group_name_Hall '-C 2 2'
_cell_length_a 3.785
_cell_length_b 4.614
_cell_length_c 8.662
_cell_angle_alpha 90.00
_cell_angle_beta 90.00
_cell_angle_gamma 90.00
loop_
_atom_site_label
_atom_site_fract_x
_atom_site_fract_y
_atom_site_fract_z
Zn1 0.000 0.000 0.000
Si1 0.000 0.500 0.211
Sb1 0.000 0.000 0.500